one:
Here is NaLiB2 after structural relaxation from the Alexandria database. Energies are from PBE-GGA.

Unit cell a=8.5206 b=8.5206 c=8.5206 alpha=156.94 beta=156.94 gamma=32.83
Closest atoms and distances in Å follow each position.
Sites, in units of the cell vectors:
Na  0.3750  0.6250  0.7500  4 Li 2.41
Na  0.6250  0.3750  0.2500  4 Li 2.41
Li  0.1250  0.8750  0.2500  4 B 2.21, 4 Na 2.41
Li  0.8750  0.1250  0.7500  4 B 2.21, 4 Na 2.41
B  0.0000  0.0000  0.0000  2 B 1.70
B  0.0000  0.0000  0.5000  2 B 1.70
B  0.0000  0.5000  0.0000  2 B 1.70
B  0.5000  0.0000  0.5000  2 B 1.70

Symmetry ... No. 141



two:
Here is NaLiB2 after structural relaxation from the Alexandria database. Energies are from PBE-GGA.

Unit cell a=4.0902 b=4.0902 c=4.0902 alpha=60.00 beta=60.00 gamma=60.00
Closest atoms and distances in Å follow each position.
Sites, in units of the cell vectors:
Na  0.0000  0.0000  0.0000  8 B 2.50
Li  0.5000  0.5000  0.5000  8 B 2.50
B  0.2500  0.2500  0.2500  4 Li 2.50, 4 Na 2.50
B  0.7500  0.7500  0.7500  4 Li 2.50, 4 Na 2.50

Symmetry ... No. 225



Energies in kJ/mol of atoms, measured from the most stable structure: one 0.0; two 85.3.